Crystalline K2AcHoSe4 at its relaxed geometry, computed with GGA-PBE.

extended XYZ file:
```
8
Lattice="7.6165 0.0000 0.0000 0.0000 4.3884 0.0000 -2.5247 0.0000 7.7202" Properties=species:S:1:pos:R:3 pbc="T T T"
K 0.0000 0.0000 0.0000
K 3.8082 2.1942 0.0000
Ac -1.2624 2.1942 3.8601
Ho 2.5459 0.0000 3.8601
Se 0.1555 0.0000 5.5151
Se 1.4006 2.1942 2.2685
Se 3.6912 2.1942 5.4518
Se 4.9362 0.0000 2.2051
```

## Properties
space-group type	P2/m, No. 10
uncorrected energy	-39.0	eV/cell
Fermi-level density of states	0.00	states/eV/cell